# KErMo2O8 | Alexandria | PBE+U | optimized geometry
data_KErMo2O8
_chemical_formula_sum 'K4 Er4 Mo8 O32'
_symmetry_space_group_name_H-M 'C 1 2/c 1'
_symmetry_Int_Tables_number 15
_cell_length_a 10.7925
_cell_length_b 10.3407
_cell_length_c 7.7657
_cell_angle_alpha 90.00
_cell_angle_beta 131.29
_cell_angle_gamma 90.00
loop_
_symmetry_equiv_pos_as_xyz
'x,y,z'
'-x,-y,-z'
'-x,y,-z+1/2'
'x,-y,z+1/2'
'x+1/2,y+1/2,z'
'-x+1/2,-y+1/2,-z'
'-x+1/2,y+1/2,-z+1/2'
'x+1/2,-y+1/2,z+1/2'
loop_
_atom_site_label
_atom_site_type_symbol
_atom_site_fract_x
_atom_site_fract_y
_atom_site_fract_z
_atom_site_occupancy
K1 K 0.0000 0.1971 0.2500 1
Er1 Er 0.0000 0.2285 0.7500 1
Mo1 Mo 0.1961 0.4970 0.2398 1
O1 O 0.0223 0.3907 0.9651 1
O2 O 0.1276 0.0821 0.6945 1
O3 O 0.1917 0.4171 0.4390 1
O4 O 0.2225 0.1558 0.1178 1
# E in eV per atom: -7.125
# Calculated volume in Å³ per atom: 13.567
# Crystal system: monoclinic
# Magnetization in Bohr magnetons per cell: 0.00
# DOS(E_F) in states/eV/atom: 0.00